Entry from Alexandria via LeMat-Bulk: a relaxed Mg2PtCl crystal (PBE).

Values from the calculation:
The calculation puts the excess energy over the best structure of this formula in the dataset at 116.5 meV per atom. The calculation puts the total energy at -3.6473 eV/atom. As for the space group: P4/mmm (123). As for the formation energy from raw total energies: -878 meV/atom. Its density of states at the Fermi level is 0.421 states/eV per atom.

Cell and atoms, written as POSCAR:
```
Mg2PtCl
1.0
3.2296 0.0000 0.0000
0.0000 3.2281 0.0000
0.0000 0.0000 7.2082
Pt Mg Cl
1 2 1
direct
0.5000 0.5000 0.2500
0.0000 0.0000 0.4605
0.0000 0.0000 0.0395
0.5000 0.5000 0.7500
```